# 1
A relaxed Pm2CdBr8 crystal. Source: the Alexandria database, functional PBE.

Density in g cm⁻³: 4.39
D(E_F) in states/eV per atom: 0.000
Calculated total energy in eV per atom: -3.65

a b c (Å): 14.6365 6.9719 7.7230
angles (deg): 90.00 90.18 90.00
Closest atoms and distances in Å follow each position.
Space group C2/m (No. 12)
Asymmetric unit:
Pm 0.1251 0.0000 0.4476 [4 per cell]  6 Br 2.78-3.10
Cd 0.0000 0.0000 0.0000 [2 per cell]  6 Br 2.77-2.84
Br 0.0298 0.2465 0.7132 [8 per cell]  1 Cd 2.84, 2 Pm 3.02-3.10
Br 0.1819 0.0000 0.0990 [4 per cell]  1 Cd 2.77, 1 Pm 2.82
Br 0.2012 0.5000 0.4047 [4 per cell]  1 Pm 2.78

=====

# 2
A relaxed Ru2RhCl crystal. Source: the Alexandria database, functional PBE.

Density in g cm⁻³: 9.66
E above lowest polymorph in meV/atom: 471
D(E_F) in states/eV per atom: 1.413

a b c (Å): 4.6297 2.7787 4.8252
angles (deg): 90.00 109.45 90.00
Closest atoms and distances in Å follow each position.
Space group P2/m (No. 10)
Asymmetric unit:
Ru 0.0000 0.0000 0.0000 [1 per cell]  4 Cl 2.70, 2 Rh 2.73, 6 Ru 2.78
Ru 0.0000 0.5000 0.5000 [1 per cell]  4 Rh 2.70, 2 Cl 2.73, 6 Ru 2.78
Rh 0.5000 0.0000 0.5000 [1 per cell]  6 Ru 2.70-2.73, 2 Rh 2.78, 4 Cl 2.78
Cl 0.5000 0.5000 0.0000 [1 per cell]  6 Ru 2.70-2.73, 2 Cl 2.78, 4 Rh 2.78

=====

# 3
A relaxed LaMoPb crystal. Source: the Alexandria database, functional PBE.

Density in g cm⁻³: 8.93
E above lowest polymorph in meV/atom: 215
D(E_F) in states/eV per atom: 1.455
Formation enthalpy at 0 K in eV per formula unit: 1.6

a b c (Å): 6.9013 6.9013 6.9013
angles (deg): 90.00 90.00 90.00
Closest atoms and distances in Å follow each position.
Space group F-43m (No. 216)
Asymmetric unit:
La 0.0000 0.0000 0.0000 [4 per cell]  4 Mo 2.99
Mo 0.2500 0.2500 0.2500 [4 per cell]  4 La 2.99, 4 Pb 2.99
Pb 0.0000 0.0000 0.5000 [4 per cell]  4 Mo 2.99